DFT (PBE-GGA) results for an optimized crystal structure of MgNpCo2.

a = 3.0079 Å, b = 3.0079 Å, c = 6.7021 Å
α = 90.00°, β = 90.00°, γ = 90.00°
Last column: nearest neighbours and their distance in Å.
Element x y z (fractional)
Mg1 0.0000 0.0000 0.0000  8 Co 2.73, 4 Mg 3.01
Np1 0.0000 0.0000 0.5000  8 Co 2.69, 4 Np 3.01
Co1 0.5000 0.5000 0.2550  4 Np 2.69, 4 Mg 2.73, 4 Co 3.01
Co2 0.5000 0.5000 0.7450  4 Np 2.69, 4 Mg 2.73, 4 Co 3.01

Calculated volume: 60.6 Å³ per cell
Density of states at the Fermi level: 4.0 states/eV/cell
Total DFT energy (no corrections): -28.34 eV per formula unit
Energy of formation from the pure elements: 0.409 eV/f.u.
Total magnetic moment: 0.79 μB/f.u.

---

DFT (PBE-GGA) results for an optimized crystal structure of Ba3SrCa.

a = 7.6843 Å, b = 14.9777 Å, c = 10.6755 Å
α = 90.00°, β = 90.00°, γ = 90.00°
Last column: nearest neighbours and their distance in Å.
Element x y z (fractional)
Ba1 0.0006 0.1065 0.1174  1 Ca 3.84, 2 Ba 4.06-4.30
Ba2 0.0006 0.3935 0.1174  1 Ca 3.84, 2 Ba 4.06-4.30
Ba3 0.2483 0.7500 0.2498  2 Ba 3.84, 2 Ca 4.05-4.06
Ba4 0.2517 0.2500 0.7498  2 Ba 3.84, 2 Ca 4.05-4.06
Ba5 0.4994 0.6065 0.6174  1 Ca 3.84, 2 Ba 4.06-4.30
Ba6 0.4994 0.8935 0.6174  1 Ca 3.84, 2 Ba 4.06-4.30
Ba7 0.5006 0.1065 0.3826  1 Ca 3.84, 2 Ba 4.06-4.30
Ba8 0.5006 0.3935 0.3826  1 Ca 3.84, 2 Ba 4.06-4.30
Ba9 0.7483 0.7500 0.2502  2 Ba 3.84, 2 Ca 4.05-4.06
Ba10 0.7517 0.2500 0.7502  2 Ba 3.84, 2 Ca 4.05-4.06
Ba11 0.9994 0.6065 0.8826  1 Ca 3.84, 2 Ba 4.06-4.30
Ba12 0.9994 0.8935 0.8826  1 Ca 3.84, 2 Ba 4.06-4.30
Sr1 0.0000 0.0000 0.5000  2 Ca 3.85
Sr2 0.0000 0.5000 0.5000  2 Ca 3.85
Sr3 0.5000 0.0000 0.0000  2 Ca 3.85
Sr4 0.5000 0.5000 0.0000  2 Ca 3.85
Ca1 0.0006 0.2500 0.4154  4 Ba 3.84-4.06, 2 Sr 3.85
Ca2 0.4994 0.7500 0.9154  4 Ba 3.84-4.06, 2 Sr 3.85
Ca3 0.5006 0.2500 0.0846  4 Ba 3.84-4.06, 2 Sr 3.85
Ca4 0.9994 0.7500 0.5846  4 Ba 3.84-4.06, 2 Sr 3.85

Calculated volume: 1228.7 Å³ per cell
Energy above the lowest structure with this stoichiometry: 142 meV per atom
Density of states at the Fermi level: 23.9 states/eV/cell
Total DFT energy (no corrections): -8.69 eV per formula unit
Energy of formation from the pure elements: 0.758 eV/f.u.
Total magnetic moment: 0.00 μB/f.u.

---

DFT (PBE-GGA) results for an optimized crystal structure of H2BrF8.

a = 5.7965 Å, b = 5.7965 Å, c = 5.4268 Å
α = 90.59°, β = 90.59°, γ = 56.89°
Last column: nearest neighbours and their distance in Å.
Element x y z (fractional)
H1 0.2501 0.2501 0.0654  1 F 0.95
H2 0.7499 0.7499 0.9346  1 F 0.95
Br1 0.5000 0.5000 0.5000  6 F 1.81-1.84
F1 0.1965 0.1965 0.9218  1 H 0.95
F2 0.2243 0.6874 0.7208  1 Br 1.81
F3 0.3126 0.7757 0.2792  1 Br 1.81
F4 0.3305 0.3305 0.3790  1 Br 1.84, 1 H 1.88
F5 0.6695 0.6695 0.6210  1 Br 1.84, 1 H 1.88
F6 0.6874 0.2243 0.7208  1 Br 1.81
F7 0.7757 0.3126 0.2792  1 Br 1.81
F8 0.8035 0.8035 0.0782  1 H 0.95

Calculated volume: 152.7 Å³ per cell
Energy above the lowest structure with this stoichiometry: 0 meV per atom
Density of states at the Fermi level: 2.3 states/eV/cell
Total DFT energy (no corrections): -34.99 eV per formula unit
Total magnetic moment: 1.01 μB/f.u.

---

DFT (PBE-GGA) results for an optimized crystal structure of NdPu2Al2Si2.

a = 9.4214 Å, b = 9.4214 Å, c = 9.4214 Å
α = 25.03°, β = 25.03°, γ = 25.03°
Last column: nearest neighbours and their distance in Å.
Element x y z (fractional)
Nd1 0.0000 0.0000 0.0000  6 Si 3.10, 6 Al 3.26
Pu1 0.1519 0.1519 0.1519  3 Pu 2.49
Pu2 0.8481 0.8481 0.8481  3 Pu 2.49
Al1 0.4158 0.4158 0.4158  3 Si 2.37
Al2 0.5842 0.5842 0.5842  3 Si 2.37
Si1 0.2598 0.2598 0.2598  3 Al 2.37
Si2 0.7402 0.7402 0.7402  3 Al 2.37

Formation energy (no corrections): -1.48 eV per formula unit
Calculated volume: 131.7 Å³ per cell
Density of states at the Fermi level: 7.2 states/eV/cell
Total DFT energy (no corrections): -53.25 eV per formula unit
Total magnetic moment: 0.00 μB/f.u.

---

DFT (PBE-GGA) results for an optimized crystal structure of Ga2PtRh3.

a = 4.1402 Å, b = 7.7955 Å, c = 5.3700 Å
α = 90.00°, β = 90.00°, γ = 90.00°
Last column: nearest neighbours and their distance in Å.
Element x y z (fractional)
Ga1 0.0000 0.1456 0.0000  7 Rh 2.55-2.83, 1 Pt 2.67
Ga2 0.0000 0.8544 0.5000  7 Rh 2.55-2.83, 1 Pt 2.67
Ga3 0.5000 0.3443 0.6154  6 Rh 2.54-2.80, 2 Pt 2.59
Ga4 0.5000 0.6557 0.1154  6 Rh 2.54-2.80, 2 Pt 2.59
Pt1 0.0000 0.4700 0.8419  3 Ga 2.59-2.67, 2 Pt 2.73, 5 Rh 2.81-2.87
Pt2 0.0000 0.5300 0.3419  3 Ga 2.59-2.67, 2 Pt 2.73, 5 Rh 2.81-2.87
Rh1 0.0000 0.1810 0.4759  5 Ga 2.54-2.83, 1 Pt 2.81
Rh2 0.0000 0.8190 0.9759  5 Ga 2.54-2.83, 1 Pt 2.81
Rh3 0.5000 0.0282 0.7710  5 Ga 2.58-2.87, 7 Rh 2.72-2.87
Rh4 0.5000 0.3190 0.1346  5 Ga 2.58-2.80, 1 Rh 2.80, 4 Pt 2.85-2.87
Rh5 0.5000 0.6810 0.6346  5 Ga 2.58-2.80, 1 Rh 2.80, 4 Pt 2.85-2.87
Rh6 0.5000 0.9718 0.2710  5 Ga 2.58-2.87, 7 Rh 2.72-2.87

Calculated volume: 173.3 Å³ per cell
Energy above the lowest structure with this stoichiometry: 0 meV per atom
Density of states at the Fermi level: 8.7 states/eV/cell
Total DFT energy (no corrections): -37.11 eV per formula unit
Energy of formation from the pure elements: -2.964 eV/f.u.
Total magnetic moment: 0.00 μB/f.u.

---

DFT (PBE-GGA) results for an optimized crystal structure of AlCdOs2.

a = 4.8373 Å, b = 4.8373 Å, c = 2.8621 Å
α = 90.00°, β = 90.00°, γ = 110.81°
Last column: nearest neighbours and their distance in Å.
Element x y z (fractional)
Al1 0.0000 0.0000 0.0000  2 Cd 2.75, 8 Os 2.81, 2 Al 2.86
Cd1 0.5000 0.5000 0.0000  2 Al 2.75, 8 Os 2.81, 2 Cd 2.86
Os1 0.0000 0.5000 0.5000  4 Os 2.75-2.86, 4 Cd 2.81, 4 Al 2.81
Os2 0.5000 0.0000 0.5000  4 Os 2.75-2.86, 4 Cd 2.81, 4 Al 2.81

Calculated volume: 62.6 Å³ per cell
Energy above the lowest structure with this stoichiometry: 380 meV per atom
Density of states at the Fermi level: 5.6 states/eV/cell
Total DFT energy (no corrections): -25.20 eV per formula unit
Energy of formation from the pure elements: 1.914 eV/f.u.
Total magnetic moment: 0.00 μB/f.u.

---

DFT (PBE-GGA) results for an optimized crystal structure of MgMoAu4.

a = 5.4786 Å, b = 5.4786 Å, c = 5.4786 Å
α = 60.00°, β = 60.00°, γ = 60.00°
Last column: nearest neighbours and their distance in Å.
Element x y z (fractional)
Mg1 0.0000 0.0000 0.0000  12 Au 3.21, 4 Mo 3.35
Mo1 0.7500 0.7500 0.7500  12 Au 3.21, 4 Mg 3.35
Au1 0.3750 0.3750 0.3750  6 Au 2.74
Au2 0.3750 0.3750 0.8751  6 Au 2.74
Au3 0.3750 0.8751 0.3750  6 Au 2.74
Au4 0.8751 0.3750 0.3750  6 Au 2.74

Calculated volume: 116.3 Å³ per cell
Density of states at the Fermi level: 3.6 states/eV/cell
Total DFT energy (no corrections): -23.95 eV per formula unit
Energy of formation from the pure elements: 1.586 eV/f.u.
Total magnetic moment: 3.54 μB/f.u.

---

DFT (PBE-GGA) results for an optimized crystal structure of SrSbS3.

a = 8.0484 Å, b = 4.0476 Å, c = 14.5495 Å
α = 90.00°, β = 90.00°, γ = 90.00°
Last column: nearest neighbours and their distance in Å.
Element x y z (fractional)
Sr1 0.0903 0.2500 0.1772  9 S 3.09-3.31
Sr2 0.4097 0.7500 0.6772  9 S 3.09-3.31
Sr3 0.5903 0.2500 0.3228  9 S 3.09-3.31
Sr4 0.9097 0.7500 0.8228  9 S 3.09-3.31
Sb1 0.1713 0.7500 0.4361  5 S 2.51-2.70
Sb2 0.3287 0.2500 0.9361  5 S 2.51-2.70
Sb3 0.6713 0.7500 0.0639  5 S 2.51-2.70
Sb4 0.8287 0.2500 0.5639  5 S 2.51-2.70
S1 0.0298 0.7500 0.6134  3 Sb 2.69-2.82
S2 0.1389 0.7500 0.9994  2 Sb 2.70, 2 S 3.02
S3 0.1896 0.2500 0.7820  1 Sb 2.51
S4 0.3104 0.7500 0.2820  1 Sb 2.51
S5 0.3611 0.2500 0.4994  2 Sb 2.70, 2 S 3.02
S6 0.4702 0.2500 0.1134  3 Sb 2.69-2.82
S7 0.5298 0.7500 0.8866  3 Sb 2.69-2.82
S8 0.6389 0.7500 0.5006  2 Sb 2.70, 2 S 3.02
S9 0.6896 0.2500 0.7180  1 Sb 2.51
S10 0.8104 0.7500 0.2180  1 Sb 2.51
S11 0.8611 0.2500 0.0006  2 Sb 2.70, 2 S 3.02
S12 0.9702 0.2500 0.3866  3 Sb 2.69-2.82

Formation energy (no corrections): -4.77 eV per formula unit
Calculated volume: 474.0 Å³ per cell
Energy above the lowest structure with this stoichiometry: 0 meV per atom
Density of states at the Fermi level: 4.9 states/eV/cell
Total DFT energy (no corrections): -22.96 eV per formula unit
Total magnetic moment: 0.00 μB/f.u.

---

DFT (PBE-GGA) results for an optimized crystal structure of Mg3Rh.

a = 3.1926 Å, b = 3.1926 Å, c = 7.3162 Å
α = 90.00°, β = 90.00°, γ = 90.00°
Last column: nearest neighbours and their distance in Å.
Element x y z (fractional)
Mg1 0.0000 0.0000 0.0000  12 Mg 3.14-3.19
Mg2 0.5000 0.5000 0.2991  4 Rh 2.69, 1 Mg 2.94
Mg3 0.5000 0.5000 0.7009  4 Rh 2.69, 1 Mg 2.94
Rh1 0.0000 0.0000 0.5000  8 Mg 2.69

Calculated volume: 74.6 Å³ per cell
Density of states at the Fermi level: 1.3 states/eV/cell
Total DFT energy (no corrections): -13.38 eV per formula unit
Energy of formation from the pure elements: -1.244 eV/f.u.
Total magnetic moment: 0.00 μB/f.u.

---

DFT (PBE-GGA) results for an optimized crystal structure of SrSb2Rh.

a = 4.5139 Å, b = 4.6094 Å, c = 4.6445 Å
α = 90.00°, β = 90.15°, γ = 90.00°
Last column: nearest neighbours and their distance in Å.
Element x y z (fractional)
Sr1 0.0000 0.0000 0.0000  8 Sb 3.23-3.24, 4 Rh 3.27
Sb1 0.5000 0.0000 0.5000  4 Rh 3.23, 4 Sr 3.23-3.24, 4 Sb 3.27
Sb2 0.5000 0.5000 0.0000  4 Sr 3.23, 4 Rh 3.23-3.24, 4 Sb 3.27
Rh1 0.0000 0.5000 0.5000  8 Sb 3.23-3.24, 4 Sr 3.27

Formation energy (no corrections): -0.96 eV per formula unit
Calculated volume: 96.6 Å³ per cell
Density of states at the Fermi level: 2.3 states/eV/cell
Total DFT energy (no corrections): -18.23 eV per formula unit
Total magnetic moment: 0.00 μB/f.u.

---

DFT (PBE-GGA) results for an optimized crystal structure of ZrSc2Ta.

a = 3.1221 Å, b = 4.4395 Å, c = 6.3697 Å
α = 90.00°, β = 90.00°, γ = 90.00°
Last column: nearest neighbours and their distance in Å.
Element x y z (fractional)
Zr1 0.0000 0.0000 0.0000  5 Sc 2.96-3.19, 4 Ta 3.07, 2 Zr 3.12
Sc1 0.0000 0.0000 0.5345  1 Zr 2.96, 4 Ta 3.12, 6 Sc 3.12-3.22
Sc2 0.5000 0.5000 0.2631  2 Ta 3.11-3.26, 6 Sc 3.12-3.22, 4 Zr 3.19
Ta1 0.5000 0.5000 0.7751  4 Zr 3.07, 6 Sc 3.11-3.26, 2 Ta 3.12

Calculated volume: 88.3 Å³ per cell
Density of states at the Fermi level: 5.7 states/eV/cell
Total DFT energy (no corrections): -32.46 eV per formula unit
Energy of formation from the pure elements: 0.606 eV/f.u.
Total magnetic moment: 0.00 μB/f.u.

---

- The highest total DFT energy (no corrections) belongs to which entry?
  Ba3SrCa

---

- Which value of density of states at the Fermi level does entry 2 give?
  23.9 states/eV/cell